[1]
! PBE LiPmAu2, relaxed; values from VASP
&SYSTEM
  ibrav = 0, nat = 4, ntyp = 3
/
ATOMIC_SPECIES
Li 6.94 Li.upf
Pm 145.00 Pm.upf
Au 196.97 Au.upf
ATOMIC_POSITIONS angstrom
Li 0.0000 0.0000 0.0000
Pm 0.0000 0.0000 3.3257
Au 1.7721 1.7721 1.4302
Au 1.7721 1.7721 5.2211
CELL_PARAMETERS angstrom
3.5442 0.0000 0.0000
0.0000 3.5442 0.0000
0.0000 0.0000 6.6513
! Symmetry = P4/mmm (123)
! Magnetization = 0.00 Bohr magnetons per cell
! Offset from the most stable computed form = 62.3 meV/atom
! ΔE_f = -0.643 eV per atom
! Crystal system = tetragonal
! Fermi-level density of states = 2.37 states/eV/cell


[2]
! PBE LiEuErGa, relaxed; values from VASP
&SYSTEM
  ibrav = 0, nat = 4, ntyp = 4
/
ATOMIC_SPECIES
Li 6.94 Li.upf
Eu 151.96 Eu.upf
Er 167.26 Er.upf
Ga 69.72 Ga.upf
ATOMIC_POSITIONS angstrom
Li 0.0000 0.0000 0.0000
Eu 5.5305 5.5305 5.5305
Er 1.8435 1.8435 1.8435
Ga 3.6870 3.6870 3.6870
CELL_PARAMETERS angstrom
0.0000 3.6870 3.6870
3.6870 0.0000 3.6870
3.6870 3.6870 0.0000
! Symmetry = F-43m (216)
! Magnetization = 7.15 Bohr magnetons per cell
! ΔE_f = -0.225 eV per atom
! Crystal system = cubic
! Fermi-level density of states = 6.36 states/eV/cell


[3]
! PBE Ti2MoBr, relaxed; values from VASP
&SYSTEM
  ibrav = 0, nat = 8, ntyp = 3
/
ATOMIC_SPECIES
Ti 47.87 Ti.upf
Mo 95.94 Mo.upf
Br 79.90 Br.upf
ATOMIC_POSITIONS angstrom
Ti 4.1656 1.1178 -1.5649
Ti 1.1178 1.3885 1.5649
Ti -1.3885 1.6593 4.6946
Ti 1.6593 1.3885 7.8244
Mo 0.0000 0.0000 0.0000
Mo 0.0000 2.7771 3.1297
Br 2.7771 0.0000 3.1297
Br 0.0000 0.0000 6.2595
CELL_PARAMETERS angstrom
-2.7771 2.7771 6.2595
2.7771 -2.7771 6.2595
2.7771 2.7771 -6.2595
! Symmetry = I-42d (122)
! Formation energy (no corrections) = 3.3 eV per formula unit
! Magnetization = 0.00 Bohr magnetons per cell
! Offset from the most stable computed form = 385.8 meV/atom
! Crystal system = tetragonal
! Fermi-level density of states = 8.45 states/eV/cell


[4]
! PBE TlSnO2, relaxed; values from VASP
&SYSTEM
  ibrav = 0, nat = 4, ntyp = 3
/
ATOMIC_SPECIES
Tl 204.38 Tl.upf
Sn 118.71 Sn.upf
O 16.00 O.upf
ATOMIC_POSITIONS angstrom
Tl 0.0000 0.0000 0.0000
Sn 0.0000 0.0000 10.3912
O 0.0000 0.0000 8.1294
O 0.0000 0.0000 12.6530
CELL_PARAMETERS angstrom
1.7014 0.9823 6.9274
-1.7014 0.9823 6.9274
0.0000 -1.9646 6.9274
! Symmetry = R-3m (166)
! Formation energy (no corrections) = -2.7 eV per formula unit
! Magnetization = 0.00 Bohr magnetons per cell
! Offset from the most stable computed form = 440.4 meV/atom
! Crystal system = trigonal
! Fermi-level density of states = 0.69 states/eV/cell


[5]
! PBE MgTlIr4, relaxed; values from VASP
&SYSTEM
  ibrav = 0, nat = 6, ntyp = 3
/
ATOMIC_SPECIES
Mg 24.30 Mg.upf
Tl 204.38 Tl.upf
Ir 192.22 Ir.upf
ATOMIC_POSITIONS angstrom
Mg 0.0000 0.0000 0.0000
Tl 5.6040 5.6040 5.6040
Ir 2.7997 2.7997 2.7997
Ir 4.6723 4.6723 2.7997
Ir 4.6723 2.7997 4.6723
Ir 2.7997 4.6723 4.6723
CELL_PARAMETERS angstrom
0.0000 3.7360 3.7360
3.7360 0.0000 3.7360
3.7360 3.7360 0.0000
! Symmetry = F-43m (216)
! Magnetization = 0.00 Bohr magnetons per cell
! ΔE_f = 0.201 eV per atom
! Crystal system = cubic
! Fermi-level density of states = 7.31 states/eV/cell


[6]
! PBE CoPRu2, relaxed; values from VASP
&SYSTEM
  ibrav = 0, nat = 4, ntyp = 3
/
ATOMIC_SPECIES
Co 58.93 Co.upf
P 30.97 P.upf
Ru 101.07 Ru.upf
ATOMIC_POSITIONS angstrom
Co 0.0000 0.0000 0.0000
P 1.8309 0.0000 1.8501
Ru 0.0000 0.0000 3.7002
Ru 0.0000 1.8309 1.8501
CELL_PARAMETERS angstrom
-1.8309 1.8309 3.7002
1.8309 -1.8309 3.7002
1.8309 1.8309 -3.7002
! Symmetry = I-4m2 (119)
! Magnetization = 0.00 Bohr magnetons per cell
! ΔE_f = 0.008 eV per atom
! Crystal system = tetragonal
! Fermi-level density of states = 2.72 states/eV/cell


[7]
! PBE NaCuCl2, relaxed; values from VASP
&SYSTEM
  ibrav = 0, nat = 4, ntyp = 3
/
ATOMIC_SPECIES
Na 22.99 Na.upf
Cu 63.55 Cu.upf
Cl 35.45 Cl.upf
ATOMIC_POSITIONS angstrom
Na 0.0000 0.0000 0.0000
Cu 0.0000 0.0000 10.5996
Cl 0.0000 0.0000 8.4912
Cl 0.0000 0.0000 12.7080
CELL_PARAMETERS angstrom
2.1270 1.2280 7.0664
-2.1270 1.2280 7.0664
0.0000 -2.4561 7.0664
! Symmetry = R-3m (166)
! Formation energy (no corrections) = -4.4 eV per formula unit
! Magnetization = 0.00 Bohr magnetons per cell
! Offset from the most stable computed form = 0.0 meV/atom
! Crystal system = trigonal
! Fermi-level density of states = 0.00 states/eV/cell


[8]
! PBE LiTaSeBr2, relaxed; values from VASP
&SYSTEM
  ibrav = 0, nat = 5, ntyp = 4
/
ATOMIC_SPECIES
Li 6.94 Li.upf
Ta 180.95 Ta.upf
Se 78.96 Se.upf
Br 79.90 Br.upf
ATOMIC_POSITIONS angstrom
Li 0.0000 0.0000 0.0000
Ta 2.6186 2.6186 2.5229
Se 2.6186 2.6186 0.0000
Br 0.0000 2.6186 2.5229
Br 2.6186 0.0000 2.5229
CELL_PARAMETERS angstrom
5.2373 0.0000 0.0000
0.0000 5.2373 0.0000
0.0000 0.0000 5.0458
! Symmetry = P4/mmm (123)
! Formation energy (no corrections) = -2.0 eV per formula unit
! Magnetization = 0.52 Bohr magnetons per cell
! Offset from the most stable computed form = 0.0 meV/atom
! Crystal system = tetragonal
! Fermi-level density of states = 2.23 states/eV/cell


[9]
! PBE Tb2Ho3Er9, relaxed; values from VASP
&SYSTEM
  ibrav = 0, nat = 14, ntyp = 3
/
ATOMIC_SPECIES
Tb 158.93 Tb.upf
Ho 164.93 Ho.upf
Er 167.26 Er.upf
ATOMIC_POSITIONS angstrom
Tb 0.0000 2.4907 0.0000
Tb 0.0000 7.7427 0.0000
Ho 2.6377 0.0000 0.0000
Ho 0.0000 0.0000 2.8727
Ho 0.0000 0.0000 13.8491
Er 2.6377 2.3698 -2.0379
Er 2.6377 -1.5581 5.0680
Er 2.6377 2.3698 2.0379
Er 2.6377 1.5581 5.0680
Er 0.0000 0.0000 8.3609
Er 0.0000 3.5587 3.2929
Er 0.0000 2.7469 6.3230
Er 0.0000 6.6748 3.2929
Er 0.0000 2.7469 10.3989
CELL_PARAMETERS angstrom
-2.6377 5.1167 8.3609
2.6377 -5.1167 8.3609
2.6377 5.1167 -8.3609
! Symmetry = Immm (71)
! Magnetization = 0.00 Bohr magnetons per cell
! ΔE_f = 0.329 eV per atom
! Crystal system = orthorhombic
! Fermi-level density of states = 18.32 states/eV/cell


[10]
! PBE Tc2IN, relaxed; values from VASP
&SYSTEM
  ibrav = 0, nat = 4, ntyp = 3
/
ATOMIC_SPECIES
Tc 98.00 Tc.upf
I 126.90 I.upf
N 14.01 N.upf
ATOMIC_POSITIONS angstrom
Tc 1.5304 1.5304 1.5304
Tc 4.5912 4.5912 4.5912
I 0.0000 0.0000 0.0000
N 3.0608 3.0608 3.0608
CELL_PARAMETERS angstrom
0.0000 3.0608 3.0608
3.0608 0.0000 3.0608
3.0608 3.0608 0.0000
! Symmetry = Fm-3m (225)
! Formation energy (no corrections) = 5.5 eV per formula unit
! Magnetization = 0.00 Bohr magnetons per cell
! Offset from the most stable computed form = 854.6 meV/atom
! Crystal system = cubic
! Fermi-level density of states = 3.19 states/eV/cell


[11]
! PBE CrSb2Pb, relaxed; values from VASP
&SYSTEM
  ibrav = 0, nat = 8, ntyp = 3
/
ATOMIC_SPECIES
Cr 52.00 Cr.upf
Sb 121.76 Sb.upf
Pb 207.20 Pb.upf
ATOMIC_POSITIONS angstrom
Cr 0.0000 0.0000 0.0000
Cr 0.0000 3.1582 3.4475
Sb 4.7373 1.2006 -1.7237
Sb 1.2006 1.5791 1.7237
Sb -1.5791 1.9576 5.1712
Sb 1.9576 1.5791 8.6187
Pb 3.1582 0.0000 3.4475
Pb 0.0000 0.0000 6.8950
CELL_PARAMETERS angstrom
-3.1582 3.1582 6.8950
3.1582 -3.1582 6.8950
3.1582 3.1582 -6.8950
! Symmetry = I-42d (122)
! Formation energy (no corrections) = 1.3 eV per formula unit
! Magnetization = 5.75 Bohr magnetons per cell
! Crystal system = tetragonal
! Fermi-level density of states = 6.48 states/eV/cell


[12]
! PBE HfIr2Pt, relaxed; values from VASP
&SYSTEM
  ibrav = 0, nat = 8, ntyp = 3
/
ATOMIC_SPECIES
Hf 178.49 Hf.upf
Ir 192.22 Ir.upf
Pt 195.08 Pt.upf
ATOMIC_POSITIONS angstrom
Hf 0.0000 0.0000 0.0000
Hf 0.0000 1.9519 4.6312
Ir 0.9760 -0.8816 6.9467
Ir 1.0703 0.9760 2.3156
Ir 0.9760 2.8335 -2.3156
Ir 0.8816 0.9760 11.5779
Pt 1.9519 0.0000 4.6312
Pt 0.0000 0.0000 9.2623
CELL_PARAMETERS angstrom
-1.9519 1.9519 9.2623
1.9519 -1.9519 9.2623
1.9519 1.9519 -9.2623
! Symmetry = I-42d (122)
! Magnetization = 0.00 Bohr magnetons per cell
! ΔE_f = -0.246 eV per atom
! Crystal system = tetragonal
! Fermi-level density of states = 5.76 states/eV/cell


[13]
! PBE KMgBe2, relaxed; values from VASP
&SYSTEM
  ibrav = 0, nat = 4, ntyp = 3
/
ATOMIC_SPECIES
K 39.10 K.upf
Mg 24.30 Mg.upf
Be 9.01 Be.upf
ATOMIC_POSITIONS angstrom
K 0.0000 0.0000 0.0000
Mg 4.1508 2.4118 2.9168
Be 2.0707 3.6415 3.6209
Be 4.1435 4.8404 3.5950
CELL_PARAMETERS angstrom
4.1560 0.0000 0.0000
2.0680 3.6571 0.0000
0.0002 2.3988 6.2745
! Symmetry = P1 (1)
! Magnetization = 0.00 Bohr magnetons per cell
! ΔE_f = 0.470 eV per atom
! Crystal system = triclinic
! Fermi-level density of states = 1.68 states/eV/cell


[14]
! PBE LiSbMo2, relaxed; values from VASP
&SYSTEM
  ibrav = 0, nat = 4, ntyp = 3
/
ATOMIC_SPECIES
Li 6.94 Li.upf
Sb 121.76 Sb.upf
Mo 95.94 Mo.upf
ATOMIC_POSITIONS angstrom
Li 0.0000 0.0000 0.0000
Sb 0.0000 0.0000 4.5570
Mo 1.6620 0.0000 2.3192
Mo 1.6620 0.0000 6.7948
CELL_PARAMETERS angstrom
1.6620 -2.3387 0.0000
1.6620 2.3387 0.0000
0.0000 0.0000 9.1140
! Symmetry = Cmmm (65)
! Formation energy (no corrections) = 2.7 eV per formula unit
! Magnetization = 0.00 Bohr magnetons per cell
! Crystal system = orthorhombic
! Fermi-level density of states = 2.56 states/eV/cell


[15]
! PBE Ta3BeBi, relaxed; values from VASP
&SYSTEM
  ibrav = 0, nat = 5, ntyp = 3
/
ATOMIC_SPECIES
Ta 180.95 Ta.upf
Be 9.01 Be.upf
Bi 208.98 Bi.upf
ATOMIC_POSITIONS angstrom
Ta 0.0000 0.0000 2.5566
Ta 0.0000 2.5566 0.0000
Ta 2.5566 0.0000 0.0000
Be 2.5566 2.5566 2.5566
Bi 0.0000 0.0000 0.0000
CELL_PARAMETERS angstrom
5.1131 0.0000 0.0000
0.0000 5.1131 0.0000
0.0000 0.0000 5.1131
! Symmetry = Pm-3m (221)
! Magnetization = 0.00 Bohr magnetons per cell
! Offset from the most stable computed form = 2046.8 meV/atom
! ΔE_f = 2.703 eV per atom
! Crystal system = cubic
! Fermi-level density of states = 7.72 states/eV/cell


[16]
! PBE CoMoH, relaxed; values from VASP
&SYSTEM
  ibrav = 0, nat = 6, ntyp = 3
/
ATOMIC_SPECIES
Co 58.93 Co.upf
Mo 95.94 Mo.upf
H 1.01 H.upf
ATOMIC_POSITIONS angstrom
Co 0.0000 1.0084 0.9720
Co 1.8197 1.0084 2.9113
Mo 1.8197 1.0084 -0.9721
Mo 0.0000 1.0084 4.8553
H 1.8197 1.0084 1.0693
H 0.0000 1.0084 2.8139
CELL_PARAMETERS angstrom
-1.8197 2.0167 3.8832
1.8197 -2.0167 3.8832
1.8197 2.0167 -3.8832
! Symmetry = Imma (74)
! Magnetization = 1.87 Bohr magnetons per cell
! Offset from the most stable computed form = 45.0 meV/atom
! Crystal system = orthorhombic
! Fermi-level density of states = 4.41 states/eV/cell


[17]
! PBE BaTe2Se, relaxed; values from VASP
&SYSTEM
  ibrav = 0, nat = 4, ntyp = 3
/
ATOMIC_SPECIES
Ba 137.33 Ba.upf
Te 127.60 Te.upf
Se 78.96 Se.upf
ATOMIC_POSITIONS angstrom
Ba 0.0000 0.0000 0.0000
Te -0.0477 2.2401 4.9313
Te 2.6975 2.2401 1.4904
Se -1.1886 0.0000 3.2108
CELL_PARAMETERS angstrom
5.0269 0.0000 0.0000
0.0000 4.4802 0.0000
-2.3772 0.0000 6.4217
! Symmetry = P2/m (10)
! Formation energy (no corrections) = -3.1 eV per formula unit
! Magnetization = 0.00 Bohr magnetons per cell
! Crystal system = monoclinic
! Fermi-level density of states = 1.16 states/eV/cell


[18]
! PBE LaTh2Pt, relaxed; values from VASP
&SYSTEM
  ibrav = 0, nat = 8, ntyp = 3
/
ATOMIC_SPECIES
La 138.91 La.upf
Th 232.04 Th.upf
Pt 195.08 Pt.upf
ATOMIC_POSITIONS angstrom
La -0.0014 2.5579 0.9990
La 1.9232 7.6737 5.0367
Th 0.0034 0.5301 4.3758
Th 0.0034 4.5857 4.3758
Th 1.9184 5.6459 1.6600
Th 1.9184 9.7014 1.6600
Pt -0.0012 7.6737 2.5381
Pt 1.9230 2.5579 3.4976
CELL_PARAMETERS angstrom
3.8410 0.0000 0.0000
0.0000 10.2315 0.0000
-1.9192 0.0000 6.0358
! Symmetry = P2_1/m (11)
! Magnetization = 0.00 Bohr magnetons per cell
! Offset from the most stable computed form = 0.0 meV/atom
! ΔE_f = -0.605 eV per atom
! Crystal system = monoclinic
! Fermi-level density of states = 9.30 states/eV/cell


[19]
! PBE CsPb2N, relaxed; values from VASP
&SYSTEM
  ibrav = 0, nat = 8, ntyp = 3
/
ATOMIC_SPECIES
Cs 132.91 Cs.upf
Pb 207.20 Pb.upf
N 14.01 N.upf
ATOMIC_POSITIONS angstrom
Cs 0.0000 0.0000 0.0000
Cs 0.0000 3.6717 2.7910
Pb 1.8358 -0.6792 4.1864
Pb 2.9925 1.8358 1.3955
Pb 1.8358 4.3509 -1.3955
Pb 0.6792 1.8358 6.9774
N 3.6717 0.0000 2.7910
N 0.0000 0.0000 5.5819
CELL_PARAMETERS angstrom
-3.6717 3.6717 5.5819
3.6717 -3.6717 5.5819
3.6717 3.6717 -5.5819
! Symmetry = I-42d (122)
! Formation energy (no corrections) = 2.3 eV per formula unit
! Magnetization = 0.00 Bohr magnetons per cell
! Crystal system = tetragonal
! Fermi-level density of states = 3.27 states/eV/cell


[20]
! PBE CsRbPdPb2, relaxed; values from VASP
&SYSTEM
  ibrav = 0, nat = 5, ntyp = 4
/
ATOMIC_SPECIES
Cs 132.91 Cs.upf
Rb 85.47 Rb.upf
Pd 106.42 Pd.upf
Pb 207.20 Pb.upf
ATOMIC_POSITIONS angstrom
Cs 0.0000 0.0000 0.0000
Rb 2.7532 2.7532 0.0000
Pd 2.7532 2.7532 3.1913
Pb 0.0000 2.7532 3.1913
Pb 2.7532 0.0000 3.1913
CELL_PARAMETERS angstrom
5.5064 0.0000 0.0000
0.0000 5.5064 0.0000
0.0000 0.0000 6.3826
! Symmetry = P4/mmm (123)
! Magnetization = 0.00 Bohr magnetons per cell
! ΔE_f = -0.041 eV per atom
! Crystal system = tetragonal
! Fermi-level density of states = 4.84 states/eV/cell